First-principles (GGA-PBE) data for ErAlZn after structural relaxation, as listed in the Alexandria database.

The energy of formation from the pure elements comes out at -44.1 kJ per mole of atoms. The calculated volume is 60.6 Å³ per cell. The total energy is -11.0 eV for the cell shown. The crystal system is hexagonal.

Cell: 4.4754 4.4754 3.4909 Å, 90.00 90.00 120.00°
Space group P-6m2 (No. 187)
Asymmetric unit:
Er (0.0000, 0.0000, 0.0000) x1
Al (0.6667, 0.3333, 0.5000) x1
Zn (0.3333, 0.6667, 0.5000) x1

=====

First-principles (GGA-PBE) data for Er5Al4Zn after structural relaxation, as listed in the Alexandria database.

The energy of formation from the pure elements comes out at -37.6 kJ per mole of atoms. The calculated volume is 225.7 Å³ per cell. The total energy is -43.0 eV for the cell shown. The crystal system is tetragonal.

Cell: 3.5471 3.5471 17.9397 Å, 90.00 90.00 90.00°
Space group P4/mmm (No. 123)
Asymmetric unit:
Er (0.0000, 0.0000, 0.0000) x1
Er (0.0000, 0.0000, 0.2006) x2
Er (0.0000, 0.0000, 0.4031) x2
Al (0.5000, 0.5000, 0.1001) x2
Al (0.5000, 0.5000, 0.3022) x2
Zn (0.5000, 0.5000, 0.5000) x1

=====

First-principles (GGA-PBE) data for ErAl2Zn after structural relaxation, as listed in the Alexandria database.

The energy of formation from the pure elements comes out at -35.5 kJ per mole of atoms. The calculated volume is 75.5 Å³ per cell. The total energy is -14.8 eV for the cell shown. The crystal system is tetragonal.

Cell: 4.2203 4.2203 4.2418 Å, 90.00 90.00 90.00°
Space group P4/mmm (No. 123)
Asymmetric unit:
Er (0.0000, 0.0000, 0.0000) x1
Al (0.0000, 0.5000, 0.5000) x2
Zn (0.5000, 0.5000, 0.0000) x1

=====

Question: Among the records above, which one has the highest calculated volume?
Answer: Er5Al4Zn

=====

Copy entry 2 word for word.
First-principles (GGA-PBE) data for Er5Al4Zn after structural relaxation, as listed in the Alexandria database.

The energy of formation from the pure elements comes out at -37.6 kJ per mole of atoms. The calculated volume is 225.7 Å³ per cell. The total energy is -43.0 eV for the cell shown. The crystal system is tetragonal.

Cell: 3.5471 3.5471 17.9397 Å, 90.00 90.00 90.00°
Space group P4/mmm (No. 123)
Asymmetric unit:
Er (0.0000, 0.0000, 0.0000) x1
Er (0.0000, 0.0000, 0.2006) x2
Er (0.0000, 0.0000, 0.4031) x2
Al (0.5000, 0.5000, 0.1001) x2
Al (0.5000, 0.5000, 0.3022) x2
Zn (0.5000, 0.5000, 0.5000) x1

=====

Question: Which formula does entry 1 have?
Answer: ErAlZn